Material: VPS2F
Method: DFT, GGA+U
State: optimized geometry

a = 4.7666 Å, b = 4.7666 Å, c = 3.7221 Å
α = 90.00°, β = 90.00°, γ = 90.00°
Space group P4/mmm (No. 123)
Asymmetric unit:
V1 0.0000 0.0000 0.0000 (multiplicity 1)
P1 0.5000 0.5000 0.0000 (multiplicity 1)
S1 0.0000 0.5000 0.5000 (multiplicity 2)
F1 0.5000 0.5000 0.5000 (multiplicity 1)

E above lowest polymorph in meV per atom: 588
DFT total energy in eV per atom: -3.778